## MnAlVRe2 (PBE-GGA)

Data for a relaxed structure of MnAlVRe2.

Cell and atoms, written as CIF:
```
data_MnAlVRe2
_chemical_formula_sum 'Mn1 Al1 V1 Re2'
_cell_length_a 4.463
_cell_length_b 4.183
_cell_length_c 4.463
_cell_angle_alpha 90.00
_cell_angle_beta 90.00
_cell_angle_gamma 90.00
_symmetry_space_group_name_H-M 'P 1'
_symmetry_Int_Tables_number 1
loop_
_symmetry_equiv_pos_as_xyz
'x,y,z'
loop_
_atom_site_label
_atom_site_type_symbol
_atom_site_fract_x
_atom_site_fract_y
_atom_site_fract_z
Re1 Re 0.500 0.000 0.000
Re2 Re 0.000 0.000 0.500
V1 V 0.000 0.500 0.000
Mn1 Mn 0.000 0.000 0.000
Al1 Al 0.500 0.500 0.500
```

Computed properties:
Formation energy from the elements: 5.19 eV/f.u.
Electronic total energy: -8.3471 eV per atom